DFT (GGA-PBE) results for Na3LiGa8 after structural relaxation.

SG	R3m
total moment	0.00	μB per cell
DOS at the Fermi energy	5.99	states/eV/cell

Cell: 9.481 9.481 9.481 Å, 34.54 34.54 34.54°
Atoms (fractional coordinates):
Na 0.000 0.000 0.000
Na 0.125 0.125 0.125
Na 0.502 0.502 0.502
Li 0.626 0.626 0.626
Ga 0.058 0.562 0.562
Ga 0.063 0.063 0.566
Ga 0.063 0.566 0.063
Ga 0.312 0.312 0.312
Ga 0.562 0.058 0.562
Ga 0.562 0.562 0.058
Ga 0.566 0.063 0.063
Ga 0.812 0.812 0.812


DFT (GGA-PBE) results for Na2LiGa6 after structural relaxation.

SG	P6/mmm
total moment	0.00	μB per cell
DOS at the Fermi energy	2.98	states/eV/cell

Cell: 7.754 7.754 3.426 Å, 90.00 90.00 120.00°
Atoms (fractional coordinates):
Na 0.333 0.667 0.000
Na 0.667 0.333 0.000
Li 0.000 0.000 0.000
Ga 0.000 0.329 0.500
Ga 0.000 0.671 0.500
Ga 0.329 0.000 0.500
Ga 0.329 0.329 0.500
Ga 0.671 0.000 0.500
Ga 0.671 0.671 0.500


| no. | calculated formation energy (eV/atom) | total energy (eV/f.u.) |
| --- | --- | --- |
| 1 | -0.12 | -31.54 |
| 2 | -0.14 | -23.98 |